No. 1
Entry from Alexandria: a relaxed BaCoAg2Sn crystal (PBE-GGA).

The raw total energy is -16.14 eV for the cell shown. As for the calculated density: 6.445 g/cm3.

The structure belongs to space group P4/mmm (No. 123); the cell edges are 5.0733, 5.0733 and 5.3128 Å and the angles 90.00°, 90.00° and 90.00°. Symmetry generates all atoms from Ba at (0.0000, 0.0000, 0.0000), Co at (0.0000, 0.0000, 0.5000), Ag at (0.0000, 0.5000, 0.5000) and Sn at (0.5000, 0.5000, 0.0000).



No. 2
Entry from Alexandria: a relaxed Ca2ReTe crystal (PBE-GGA).

The raw total energy is -72.08 eV for the cell shown. For the formation energy without anion corrections, the calculation gives 0.393 eV/atom. As for the calculated density: 7.397 g/cm3.

The structure belongs to space group F-43m (No. 216); the cell edges are 7.0724, 7.0724 and 7.0724 Å and the angles 90.00°, 90.00° and 90.00°. Symmetry generates all atoms from Ca at (0.0000, 0.0000, 0.0000), Ca at (0.2500, 0.2500, 0.2500), Re at (0.0000, 0.0000, 0.5000) and Te at (0.2500, 0.2500, 0.7500).



No. 3
Entry from Alexandria: a relaxed TlCoAgCl6 crystal (PBE-GGA).

The raw total energy is -57.01 eV for the cell shown. For the formation energy without anion corrections, the calculation gives -0.567 eV/atom. As for the calculated density: 3.941 g/cm3.

The structure belongs to space group C2 (No. 5); the cell edges are 6.5479, 11.3697 and 6.6095 Å and the angles 90.00°, 90.10° and 90.00°. Symmetry generates all atoms from Tl at (0.0000, 0.0000, 0.0000), Co at (0.0000, 0.6666, 0.5000), Ag at (0.0000, 0.3333, 0.5000), Cl at (0.1307, 0.5234, 0.3020), Cl at (0.1507, 0.8036, 0.3023) and Cl at (0.2194, 0.1734, 0.3009).



No. 4
Entry from Alexandria: a relaxed CaTb2ErBi4 crystal (PBE-GGA).

The raw total energy is -37.76 eV for the cell shown. As for the calculated density: 8.702 g/cm3.

The structure belongs to space group P2/m (No. 10); the cell edges are 7.8243, 4.4792 and 7.8431 Å and the angles 90.00°, 109.11° and 90.00°. Symmetry generates all atoms from Ca at (0.0000, 0.0000, 0.0000), Tb at (0.5000, 0.0000, 0.5000), Tb at (0.5000, 0.5000, 0.0000), Er at (0.0000, 0.5000, 0.5000), Bi at (0.2496, 0.0000, 0.7460) and Bi at (0.2536, 0.5000, 0.2560).



No. 5
Entry from Alexandria: a relaxed Ba2CaAg crystal (PBE-GGA).

The raw total energy is -8.61 eV for the cell shown. As for the calculated density: 4.047 g/cm3.

The structure belongs to space group P4/mmm (No. 123); the cell edges are 6.1664, 6.1664 and 4.5600 Å and the angles 90.00°, 90.00° and 90.00°. Symmetry generates all atoms from Ba at (0.0000, 0.5000, 0.0000), Ca at (0.0000, 0.0000, 0.5000) and Ag at (0.5000, 0.5000, 0.5000).



No. 6
Entry from Alexandria: a relaxed NaICl2 crystal (PBE-GGA).

The raw total energy is -20.80 eV for the cell shown. For the formation energy without anion corrections, the calculation gives -0.960 eV/atom. As for the calculated density: 2.701 g/cm3.

The structure belongs to space group P6_3/mmc (No. 194); the cell edges are 4.4870, 4.4870 and 15.5681 Å and the angles 90.00°, 90.00° and 120.00°. Symmetry generates all atoms from Na at (0.0000, 0.0000, 0.0000), I at (0.3333, 0.6667, 0.2500) and Cl at (0.3333, 0.6667, 0.0840).



No. 7
Entry from Alexandria: a relaxed Be2GaFe2 crystal (PBE-GGA).

The raw total energy is -56.42 eV for the cell shown. As for the calculated density: 6.833 g/cm3.

The structure belongs to space group P4/mbm (No. 127); the cell edges are 5.8306, 5.8306 and 2.8514 Å and the angles 90.00°, 90.00° and 90.00°. Symmetry generates all atoms from Be at (0.1226, 0.3774, 0.0000), Ga at (0.0000, 0.0000, 0.0000) and Fe at (0.1700, 0.6700, 0.5000).



No. 8
Entry from Alexandria: a relaxed PrNd2In3 crystal (PBE-GGA).

The raw total energy is -102.03 eV for the cell shown. As for the calculated density: 7.306 g/cm3.

The structure belongs to space group Cmmm (No. 65); the cell edges are 5.4939, 16.4780 and 7.7719 Å and the angles 90.00°, 90.00° and 90.00°. Symmetry generates all atoms from Pr at (0.0000, 0.1666, 0.0000), Nd at (0.0000, 0.1673, 0.5000), Nd at (0.0000, 0.5000, 0.0000), Nd at (0.0000, 0.5000, 0.5000), In at (0.0000, 0.0000, 0.2521) and In at (0.0000, 0.3341, 0.2519).



> Which value of calculated density does entry 5 give?

4.047 g/cm3



> calculated density of number 5 (Ba2CaAg)?

4.047 g/cm3



Copy entry 8 word for word.
Entry from Alexandria: a relaxed PrNd2In3 crystal (PBE-GGA).

The raw total energy is -102.03 eV for the cell shown. As for the calculated density: 7.306 g/cm3.

The structure belongs to space group Cmmm (No. 65); the cell edges are 5.4939, 16.4780 and 7.7719 Å and the angles 90.00°, 90.00° and 90.00°. Symmetry generates all atoms from Pr at (0.0000, 0.1666, 0.0000), Nd at (0.0000, 0.1673, 0.5000), Nd at (0.0000, 0.5000, 0.0000), Nd at (0.0000, 0.5000, 0.5000), In at (0.0000, 0.0000, 0.2521) and In at (0.0000, 0.3341, 0.2519).